[1]
A plane-wave DFT calculation with GGA-PBE was carried out for a geometry-optimized DyHo4Sb5 structure.

## Properties
As for the space group: Immm, No. 71. As for the raw formation energy: -1118 meV/atom.

a b c (Å): 4.3704 6.1773 11.5585
angles (deg): 105.50 100.90 90.00
Sites, in units of the cell vectors:
Dy  0.0000  0.0000  0.0000
Ho  0.4000  0.4000  0.8001
Ho  0.7998  0.7998  0.5995
Ho  0.2002  0.2002  0.4005
Ho  0.6000  0.6000  0.1999
Sb  0.6004  0.1004  0.2009
Sb  0.8001  0.3001  0.6002
Sb  0.1999  0.6999  0.3998
Sb  0.0000  0.5000  0.0000
Sb  0.3996  0.8996  0.7991


[2]
A plane-wave DFT calculation with GGA-PBE was carried out for a geometry-optimized KIn2Si2 structure.

## Properties
For the polymorph energy (0 for the lowest one), the calculation gives 1.10 eV/f.u. As for the space group: P4/mbm, No. 127. As for the raw formation energy: 278 meV/atom.

a b c (Å): 8.4474 8.4474 3.4061
angles (deg): 90.00 90.00 90.00
Sites, in units of the cell vectors:
K  0.0000  0.0000  0.0000
K  0.5000  0.5000  0.0000
Si  0.3662  0.8662  0.0000
Si  0.8662  0.6338  0.0000
Si  0.6338  0.1338  0.0000
Si  0.1338  0.3662  0.0000
In  0.1487  0.6487  0.5000
In  0.6487  0.8513  0.5000
In  0.8513  0.3513  0.5000
In  0.3513  0.1487  0.5000


[3]
A plane-wave DFT calculation with GGA-PBE was carried out for a geometry-optimized AcTbErHg structure.

## Properties
For the formation energy from the elements, the calculation gives 5.89 kJ/mol of atoms. As for the space group: F-43m, No. 216.

a b c (Å): 5.5632 5.5632 5.5632
angles (deg): 60.00 60.00 60.00
Sites, in units of the cell vectors:
Ac  0.2500  0.2500  0.2500
Tb  0.0000  0.0000  0.0000
Hg  0.7500  0.7500  0.7500
Er  0.5000  0.5000  0.5000


[4]
A plane-wave DFT calculation with GGA-PBE was carried out for a geometry-optimized Co2OsPt structure.

## Properties
For the formation energy from the elements, the calculation gives 7.01 kJ/mol of atoms. As for the space group: Pmmm, No. 47.

a b c (Å): 2.6520 3.6043 5.3733
angles (deg): 90.00 90.00 90.00
Each line ends with the local moment (μB).
Sites, in units of the cell vectors:
Co  0.0000  0.0000  0.0173  0.81
Co  0.0000  0.0000  0.4827  0.81
Os  0.5000  0.5000  0.2500  -0.03
Pt  0.5000  0.5000  0.7500  0.10


[5]
A plane-wave DFT calculation with GGA-PBE was carried out for a geometry-optimized LaP2W structure.

## Properties
For the formation energy from the elements, the calculation gives 25.06 kJ/mol of atoms. For the polymorph energy (0 for the lowest one), the calculation gives 3.78 eV/f.u. As for the space group: I-4m2, No. 119.

a b c (Å): 5.8157 5.8157 5.8157
angles (deg): 140.25 140.25 57.48
Each line ends with the local moment (μB).
Sites, in units of the cell vectors:
La  0.7500  0.2500  0.5000  0.13
P  0.0000  0.0000  0.0000  -0.07
P  0.2500  0.7500  0.5000  -0.02
W  0.5000  0.5000  0.0000  1.61


[6]
A plane-wave DFT calculation with GGA-PBE was carried out for a geometry-optimized POs2Br structure.

## Properties
For the polymorph energy (0 for the lowest one), the calculation gives 2.33 eV/f.u. As for the space group: Immm, No. 71. As for the raw formation energy: 977 meV/atom.

a b c (Å): 5.2135 5.2135 5.2135
angles (deg): 148.35 116.98 72.24
Sites, in units of the cell vectors:
Br  0.2500  0.7500  0.5000
Os  0.9689  0.9689  0.0000
Os  0.5311  0.5311  0.0000
P  0.7500  0.2500  0.5000


[7]
A plane-wave DFT calculation with GGA-PBE was carried out for a geometry-optimized K2ScAu structure.

## Properties
For the formation energy from the elements, the calculation gives 32.36 kJ/mol of atoms. For the polymorph energy (0 for the lowest one), the calculation gives 1.83 eV/f.u. As for the space group: P2/m, No. 10.

a b c (Å): 6.2263 3.8260 5.1942
angles (deg): 83.53 90.00 90.00
Each line ends with the local moment (μB).
Sites, in units of the cell vectors:
Au  0.5000  0.7500  0.7500  0.01
K  0.0000  0.9691  0.9807  0.02
K  0.0000  0.5309  0.5193  0.02
Sc  0.5000  0.2500  0.2500  0.40


[8]
A plane-wave DFT calculation with GGA-PBE was carried out for a geometry-optimized Nd4Tl structure.

## Properties
For the formation energy from the elements, the calculation gives -2.72 kJ/mol of atoms. For the polymorph energy (0 for the lowest one), the calculation gives 0.26 eV/f.u. As for the space group: P2/c, No. 13.

a b c (Å): 6.4674 6.2093 9.2269
angles (deg): 90.00 90.00 66.72
Sites, in units of the cell vectors:
Nd  0.1930  0.9375  0.3346
Nd  0.8070  0.5625  0.3346
Nd  0.2485  0.4783  0.0771
Nd  0.7515  0.0217  0.0771
Nd  0.7515  0.5217  0.9229
Nd  0.2485  0.9783  0.9229
Nd  0.1930  0.4375  0.6654
Nd  0.8070  0.0625  0.6654
Tl  0.5000  0.7500  0.6200
Tl  0.5000  0.2500  0.3800


[9]
A plane-wave DFT calculation with GGA-PBE was carried out for a geometry-optimized EuTlZn structure.

## Properties
For the formation energy from the elements, the calculation gives -18.76 kJ/mol of atoms. As for the space group: F-43m, No. 216.

a b c (Å): 4.9285 4.9285 4.9285
angles (deg): 60.00 60.00 60.00
Each line ends with the local moment (μB).
Sites, in units of the cell vectors:
Eu  0.5000  0.5000  0.5000  6.81
Tl  0.0000  0.0000  0.0000  0.00
Zn  0.2500  0.2500  0.2500  0.00


[10]
A plane-wave DFT calculation with GGA-PBE was carried out for a geometry-optimized RbCaP2O6 structure.

## Properties
As for the space group: C2/c, No. 15. As for the raw formation energy: -2218 meV/atom.

a b c (Å): 7.1616 7.1616 6.0846
angles (deg): 101.43 101.43 88.30
Each line ends with the local moment (μB).
Sites, in units of the cell vectors:
Rb  0.1873  0.8127  0.2500  0.00
Rb  0.8127  0.1873  0.7500  0.00
Ca  0.6148  0.3852  0.2500  0.00
Ca  0.3852  0.6148  0.7500  0.00
P  0.2928  0.1445  0.7787  0.09
P  0.8555  0.7072  0.7213  0.09
P  0.7072  0.8555  0.2213  0.09
P  0.1445  0.2928  0.2787  0.09
O  0.9435  0.3729  0.2342  0.02
O  0.6271  0.0565  0.2658  0.02
O  0.0565  0.6271  0.7658  0.02
O  0.3729  0.9435  0.7342  0.02
O  0.1867  0.1513  0.0527  0.03
O  0.8487  0.8133  0.4473  0.03
O  0.8133  0.8487  0.9473  0.03
O  0.1513  0.1867  0.5527  0.03
O  0.3068  0.4446  0.3651  0.01
O  0.5554  0.6932  0.1349  0.01
O  0.6932  0.5554  0.6349  0.01
O  0.4446  0.3068  0.8651  0.01


[11]
A plane-wave DFT calculation with GGA-PBE was carried out for a geometry-optimized Pm2Cl2F3 structure.

## Properties
As for the space group: C2/m, No. 12. As for the raw formation energy: -3071 meV/atom.

a b c (Å): 3.9369 5.5282 7.3835
angles (deg): 115.93 90.00 110.86
Each line ends with the local moment (μB).
Sites, in units of the cell vectors:
Pm  0.8375  0.6749  0.7859  0.33
Pm  0.1625  0.3251  0.2141  0.33
Cl  0.8750  0.7500  0.2055  -0.01
Cl  0.1250  0.2500  0.7945  -0.01
F  0.5000  0.0000  0.0000  0.02
F  0.6736  0.3471  0.3951  0.01
F  0.3264  0.6529  0.6049  0.01


[12]
A plane-wave DFT calculation with GGA-PBE was carried out for a geometry-optimized Tb4NdTm4 structure.

## Properties
For the formation energy from the elements, the calculation gives 8.28 kJ/mol of atoms. For the polymorph energy (0 for the lowest one), the calculation gives 0.58 eV/f.u. As for the space group: C2/m, No. 12.

a b c (Å): 9.1099 9.1099 13.3103
angles (deg): 78.02 78.02 139.75
Sites, in units of the cell vectors:
Tb  0.1435  0.8565  0.5000
Tb  0.1847  0.8153  0.0000
Tb  0.5255  0.8104  0.8340
Tb  0.1896  0.4745  0.1660
Tb  0.8104  0.5255  0.8340
Tb  0.4745  0.1896  0.1660
Tb  0.8153  0.1847  0.0000
Tb  0.8565  0.1435  0.5000
Nd  0.5044  0.5044  0.7201
Nd  0.4956  0.4956  0.2799
Tm  0.1438  0.5145  0.6653
Tm  0.4855  0.8562  0.3347
Tm  0.1635  0.1635  0.6127
Tm  0.1722  0.1722  0.0548
Tm  0.8366  0.8366  0.3873
Tm  0.8278  0.8278  0.9452
Tm  0.8562  0.4855  0.3347
Tm  0.5145  0.1438  0.6653